A plane-wave DFT calculation with PBE was carried out for ZrAl4Re after structural relaxation.

## Properties
Size of the total moment (Bohr magnetons per cell): 0.0
SG: F-43m
ΔE_f (meV per atom): -112.5

a = 5.1261 Å, b = 5.1261 Å, c = 5.1261 Å
α = 60.00°, β = 60.00°, γ = 60.00°
Fractional positions:
Zr1 0.0000 0.0000 0.0000
Al1 0.1252 0.6249 0.6249
Al2 0.6249 0.1252 0.6249
Al3 0.6249 0.6249 0.1252
Al4 0.6249 0.6249 0.6249
Re1 0.2500 0.2500 0.2500

A plane-wave DFT calculation with PBE was carried out for Ca2TlHPb after structural relaxation.

## Properties
Size of the total moment (Bohr magnetons per cell): 0.0
SG: P4/mmm
Energy above the lowest structure with this stoichiometry (meV per atom): 0

a = 5.0259 Å, b = 5.0259 Å, c = 4.7883 Å
α = 90.00°, β = 90.00°, γ = 90.00°
Fractional positions:
Ca1 0.0000 0.5000 0.0000
Ca2 0.5000 0.0000 0.0000
Tl1 0.0000 0.0000 0.5000
H1 0.0000 0.0000 0.0000
Pb1 0.5000 0.5000 0.5000

A plane-wave DFT calculation with PBE was carried out for Tm4Sc3Tc2 after structural relaxation.

## Properties
Size of the total moment (Bohr magnetons per cell): 0.0
SG: C2/m
ΔE_f (meV per atom): -93.6

a = 8.0849 Å, b = 8.0849 Å, c = 7.3076 Å
α = 108.12°, β = 108.12°, γ = 29.84°
Fractional positions:
Tm1 0.0847 0.0847 0.3476
Tm2 0.2772 0.2772 0.8279
Tm3 0.7228 0.7228 0.1721
Tm4 0.9153 0.9153 0.6524
Sc1 0.4016 0.4016 0.2966
Sc2 0.5000 0.5000 0.0000
Sc3 0.5984 0.5984 0.7034
Tc1 0.1036 0.1036 0.9409
Tc2 0.8964 0.8964 0.0591